Entry from the Alexandria database: a geometry-optimized Er8FePd2 structure (GGA-PBE).

Cell lengths 8.8329, 8.8329, 6.6757 Å; angles 106.40, 106.40, 33.12 degrees
With the nearest neighbours (Å) after each atom.
Positions (direct):
Er1 0.0301 0.0301 0.2954  1 Pd 2.87, 2 Fe 2.98, 1 Er 3.18
Er2 0.2007 0.2007 0.8091  1 Pd 2.76
Er3 0.3381 0.3381 0.5334  1 Fe 2.81, 3 Pd 2.82-3.14
Er4 0.4097 0.4097 0.0671  1 Fe 2.84
Er5 0.5903 0.5903 0.9329  1 Fe 2.84
Er6 0.6619 0.6619 0.4666  1 Fe 2.81, 3 Pd 2.82-3.14
Er7 0.7993 0.7993 0.1909  1 Pd 2.76
Er8 0.9699 0.9699 0.7046  1 Pd 2.87, 2 Fe 2.98, 1 Er 3.18
Fe1 0.5000 0.5000 0.5000  8 Er 2.81-2.98
Pd1 0.1868 0.1868 0.2113  3 Er 2.76-2.87
Pd2 0.8132 0.8132 0.7887  3 Er 2.76-2.87

The value obtained for the total magnetization is 0.0 μB per formula unit. For the formation energy, the calculation gives -0.32 eV per atom. The energy above the lowest structure with this stoichiometry comes out at 0 meV per atom. As for the symmetry: C2/m, No. 12. As for the final energy: -5.352 eV/atom.